[1]
SnBiAs2Pt (GGA-PBE, optimized geometry); uncorrected energy = -4.35 eV per atom; Fermi-level density of states = 0.64 states/eV/atom; magnetic moment = 0.0 μB per cell; formation energy = 0.299 eV per atom
1.0
4.9175 0.0000 0.0000
0.0000 5.4346 0.0000
0.0000 0.0000 4.9175
Bi As Sn Pt
1 2 1 1
Cartesian
2.4587 2.7173 2.4587
0.0000 0.0000 2.4587
2.4587 0.0000 0.0000
0.0000 2.7173 0.0000
0.0000 0.0000 0.0000



[2]
Ba2Mg5Cd5 (GGA-PBE, optimized geometry); uncorrected energy = -1.58 eV per atom; Fermi-level density of states = 0.73 states/eV/atom; magnetic moment = 0.0 μB per cell; formation energy = -0.209 eV per atom
1.0
4.9346 0.0000 0.0000
0.0000 6.2749 0.0000
0.0000 0.0000 10.7360
Cd Ba Mg
5 2 5
Cartesian
0.0000 0.0000 1.8171
2.4673 0.0000 0.0000
0.0000 0.0000 8.9189
0.0000 3.1375 3.5800
0.0000 3.1375 7.1559
0.0000 3.1375 0.0000
0.0000 0.0000 5.3680
2.4673 4.7037 2.6391
2.4673 4.7037 8.0968
2.4673 1.5712 2.6391
2.4673 1.5712 8.0968
2.4673 3.1375 5.3680



[3]
PrSmCl2 (GGA-PBE, optimized geometry); uncorrected energy = -4.65 eV per atom; Fermi-level density of states = 0.56 states/eV/atom; magnetic moment = 0.0 μB per cell; energy relative to the lowest polymorph listed for this composition = 10 meV/atom; E_form (uncorrected) = -1.350 eV per atom
1.0
3.6936 0.0000 0.0000
1.8468 3.1988 0.0000
1.8468 1.0663 9.7087
Pr Cl Sm
1 2 1
Cartesian
3.6936 2.1325 4.8544
5.5404 3.1988 2.7784
1.8468 1.0663 6.9303
0.0000 0.0000 0.0000



[4]
NaCa2MgAg (GGA-PBE, optimized geometry); uncorrected energy = -1.96 eV per atom; Fermi-level density of states = 0.70 states/eV/atom; magnetic moment = 0.0 μB per cell; formation energy = -0.009 eV per atom
1.0
5.8518 0.0000 0.0000
0.0000 5.8518 0.0000
0.0000 0.0000 5.2316
Ca Mg Na Ag
2 1 1 1
Cartesian
2.9259 0.0000 0.0000
0.0000 2.9259 0.0000
0.0000 0.0000 2.6158
2.9259 2.9259 2.6158
0.0000 0.0000 0.0000



[5]
Cs2In3Bi2 (GGA-PBE, optimized geometry); uncorrected energy = -2.71 eV per atom; Fermi-level density of states = 0.53 states/eV/atom; magnetic moment = 0.0 μB per cell; energy relative to the lowest polymorph listed for this composition = 0 meV/atom; formation energy = -0.179 eV per atom
1.0
5.4325 0.0000 0.0000
-2.7162 6.8333 -0.1812
0.0000 -3.8150 7.3428
Cs Bi In
2 2 3
Cartesian
2.7162 3.9488 1.4303
0.0000 -0.9306 5.7314
0.0000 1.0501 1.9997
2.7162 1.9682 5.1619
2.7162 0.0000 0.0000
2.7162 -0.3532 3.0445
0.0000 3.3715 4.1171



[6]
Cd3Pb8 (GGA-PBE, optimized geometry); uncorrected energy = -2.81 eV per atom; Fermi-level density of states = 0.27 states/eV/atom; magnetic moment = 0.0 μB per cell; formation energy = 0.139 eV per atom
1.0
7.5046 -0.5780 -2.1827
-2.7479 7.0073 -2.1826
-0.4276 -0.5780 7.8039
Pb Cd
8 3
Cartesian
-0.3083 4.9467 5.3022
0.8703 1.1763 0.6913
6.2555 1.1522 3.4954
3.2400 6.3189 -1.5002
3.4588 4.6750 2.7473
4.6374 0.9047 -1.8636
1.0891 -0.4676 4.9388
-1.9264 4.6992 -0.0569
-1.5878 3.2147 2.8106
3.5385 -0.5780 2.8106
2.3784 3.2147 -2.1827



[7]
ScHg2Br (GGA-PBE, optimized geometry); uncorrected energy = -2.48 eV per atom; Fermi-level density of states = 0.73 states/eV/atom; magnetic moment = 0.0 μB per cell; energy relative to the lowest polymorph listed for this composition = 201 meV/atom; E_form (uncorrected) = -0.328 eV per atom
1.0
9.4507 0.0000 0.0000
0.0000 9.4507 0.0000
4.7253 4.7253 2.6703
Hg Br Sc
4 2 2
Cartesian
3.0846 7.0880 0.6676
11.8134 11.0914 2.0027
7.0880 7.8099 2.0027
6.3661 2.3627 0.6676
9.4507 4.7253 1.3352
0.0000 0.0000 0.0000
4.7253 9.4507 1.3352
4.7253 4.7253 0.0000



[8]
BeCu3As (GGA-PBE, optimized geometry); uncorrected energy = -3.32 eV per atom; Fermi-level density of states = 0.50 states/eV/atom; magnetic moment = 0.0 μB per cell; energy relative to the lowest polymorph listed for this composition = 373 meV/atom; formation energy = 0.810 eV per atom
1.0
-3.5007 1.8553 2.1407
-1.6307 -4.1025 0.8890
2.3164 -0.0841 3.8609
As Cu Be
1 3 1
Cartesian
0.0000 0.0000 0.0000
-1.7503 0.9277 1.0704
1.1582 -0.0421 1.9305
-0.8153 -2.0512 0.4445
-1.4074 -1.1656 3.4453



[9]
Sm6Zn5In (GGA-PBE, optimized geometry); uncorrected energy = -3.46 eV per atom; Fermi-level density of states = 1.24 states/eV/atom; magnetic moment = 0.0 μB per cell; formation energy = -0.337 eV per atom
1.0
-0.9076 5.0477 0.7473
-1.2388 0.8487 -7.2372
-6.4852 -4.4655 4.3612
Sm Zn In
6 5 1
Cartesian
-3.5017 0.1139 -5.0035
-5.1301 1.3170 2.8747
-1.3685 3.1503 -4.9693
-2.8970 -0.3001 -1.4717
-7.2632 -1.7194 2.8405
-5.7347 1.7311 -0.6571
-3.6075 2.4395 -2.8698
-5.7092 -0.5987 -2.8668
-2.9225 2.0296 0.7380
-0.6194 0.4244 -3.6186
-5.0243 -1.0086 0.7410
0.0000 0.0000 0.0000



[10]
KFeTeI2 (GGA-PBE, optimized geometry); uncorrected energy = -3.38 eV per atom; Fermi-level density of states = 1.53 states/eV/atom; magnetic moment = 0.2 μB per cell; energy relative to the lowest polymorph listed for this composition = 0 meV/atom; E_form (uncorrected) = -0.215 eV per atom
1.0
5.7770 0.0000 0.0000
0.0000 5.7770 0.0000
0.0000 0.0000 4.8412
Fe I Te K
1 2 1 1
Cartesian
0.0000 0.0000 0.0000
0.0000 2.8885 0.0000
2.8885 0.0000 0.0000
0.0000 0.0000 2.4206
2.8885 2.8885 2.4206



[11]
NiTe2Ir (GGA-PBE, optimized geometry); uncorrected energy = -4.91 eV per atom; Fermi-level density of states = 0.41 states/eV/atom; magnetic moment = 0.0 μB per cell; energy relative to the lowest polymorph listed for this composition = 395 meV/atom; E_form (uncorrected) = 0.317 eV per atom
1.0
0.9177 0.8498 4.5425
-3.5322 0.2716 3.1062
-0.5902 -3.4073 3.2001
Te Ni Ir
2 1 1
Cartesian
-2.4035 -1.7145 8.1366
-0.8012 -0.5715 2.7122
0.0000 0.0000 0.0000
-1.6023 -1.1430 5.4244



[12]
Ac2Pt3Pb5 (GGA-PBE, optimized geometry); uncorrected energy = -5.04 eV per atom; Fermi-level density of states = 0.60 states/eV/atom; magnetic moment = 0.0 μB per cell; formation energy = -0.551 eV per atom
1.0
0.0151 -3.2981 3.3078
7.2479 2.3797 2.3395
-5.9853 10.8298 7.5272
Pb Ac Pt
10 4 6
Cartesian
-1.9930 8.3514 8.3360
0.3060 2.8893 2.8794
0.5919 3.1283 6.4145
-4.6100 6.8023 10.1016
0.2262 6.5635 6.5432
3.1502 7.5922 7.5554
-2.4058 2.2127 5.5154
5.3228 2.2337 5.5009
3.7224 2.3981 2.3740
0.9519 7.0156 10.2887
1.6368 -0.5395 2.7527
3.1165 4.9037 4.8750
-2.3143 4.8516 8.1460
-0.1080 10.5333 10.5029
2.4647 1.5905 4.8727
1.9189 5.0432 8.3177
-1.1838 4.6900 4.6817
6.5686 3.1038 3.0646
-4.5345 7.2218 7.2213
-2.0093 7.8850 11.1692



[13]
FeSe (GGA-PBE, optimized geometry); uncorrected energy = -5.86 eV per atom; Fermi-level density of states = 1.59 states/eV/atom; magnetic moment = 21.3 μB per cell; E_form (uncorrected) = 0.113 eV per atom
1.0
-1.0170 -4.7284 -4.8971
5.9957 -2.9669 1.6196
-3.2236 -4.0266 4.5574
Fe Se
6 6
Cartesian
-2.3745 -5.5596 -1.3942
2.1920 -2.4901 1.9491
0.5802 -4.5034 4.2278
0.9904 -3.1060 -2.0437
3.9883 -4.5894 -1.2339
-1.8660 -3.1954 1.0544
-1.3144 -3.3709 -1.3092
2.7436 -2.6656 -0.4145
-2.9262 -5.3842 0.9695
2.8850 -4.2385 3.4934
2.2351 -5.0298 -2.8630
-0.1129 -2.7550 2.6836



[14]
HfThZr2 (GGA-PBE, optimized geometry); uncorrected energy = -8.51 eV per atom; Fermi-level density of states = 1.61 states/eV/atom; magnetic moment = 0.0 μB per cell; energy relative to the lowest polymorph listed for this composition = 30 meV/atom; formation energy = 0.105 eV per atom
1.0
3.8227 0.0000 0.0000
0.0000 3.8227 0.0000
0.0000 0.0000 6.9387
Hf Th Zr
1 1 2
Cartesian
1.9114 1.9114 0.0000
1.9114 1.9114 3.4694
0.0000 0.0000 1.4928
0.0000 0.0000 5.4459



[15]
TbMnPd6 (GGA-PBE, optimized geometry); uncorrected energy = -5.63 eV per atom; Fermi-level density of states = 0.60 states/eV/atom; magnetic moment = 4.6 μB per cell; energy relative to the lowest polymorph listed for this composition = 505 meV/atom; formation energy = -0.014 eV per atom
1.0
-0.0339 -5.0253 -1.9043
3.3192 1.2698 -4.0314
4.3457 -1.3485 2.8597
Pd Mn Tb
6 1 1
Cartesian
4.7315 -3.7383 -3.6049
1.2872 -2.7193 -1.2249
6.3438 -2.3847 -1.8511
2.5215 -0.4018 -2.0080
5.1095 -4.7022 -1.0681
2.8995 -1.3657 0.5289
3.8155 -2.5520 -1.5380
0.0000 0.0000 0.0000



[16]
Tm5Tc2 (GGA-PBE, optimized geometry); uncorrected energy = -6.28 eV per atom; Fermi-level density of states = 0.62 states/eV/atom; magnetic moment = 0.0 μB per cell; formation energy = -0.129 eV per atom
1.0
5.5708 0.0000 -2.2852
-0.5080 7.3773 -1.2383
0.1623 0.3559 8.3283
Tc Tm
4 10
Cartesian
4.4906 0.6583 -0.1325
2.0268 4.3470 0.1548
3.1983 3.3862 4.6500
0.7345 7.0749 4.9373
1.0755 1.5322 4.0521
4.4666 0.8914 4.9214
0.0222 4.5800 6.0212
1.8259 5.2209 3.0209
3.3992 2.5123 1.7839
2.0997 1.8443 -1.2230
4.1496 6.2009 0.7527
2.9631 5.5329 -2.3005
0.7585 6.8418 -0.1166
5.2029 3.1532 -1.2163



[17]
Pr2EuSi (GGA-PBE, optimized geometry); uncorrected energy = -6.51 eV per atom; Fermi-level density of states = 1.24 states/eV/atom; magnetic moment = 8.4 μB per cell; energy relative to the lowest polymorph listed for this composition = 10 meV/atom; E_form (uncorrected) = -0.195 eV per atom
1.0
3.9265 0.0000 0.0000
0.0000 3.9265 0.0000
0.0000 0.0000 8.0432
Eu Pr Si
1 2 1
Cartesian
1.9633 1.9633 4.0216
0.0000 0.0000 1.5136
0.0000 0.0000 6.5296
1.9633 1.9633 0.0000



[18]
CrSn2W (GGA-PBE, optimized geometry); uncorrected energy = -7.09 eV per atom; Fermi-level density of states = 0.77 states/eV/atom; magnetic moment = 2.9 μB per cell; energy relative to the lowest polymorph listed for this composition = 0 meV/atom; formation energy = 0.557 eV per atom
1.0
0.0000 3.3297 3.3297
3.3297 0.0000 3.3297
3.3297 3.3297 0.0000
W Sn Cr
1 2 1
Cartesian
3.3297 3.3297 3.3297
4.9946 4.9946 4.9946
1.6649 1.6649 1.6649
0.0000 0.0000 0.0000



[19]
Ba3MgPd2O6 (GGA-PBE, optimized geometry); uncorrected energy = -5.52 eV per atom; Fermi-level density of states = 0.72 states/eV/atom; magnetic moment = 0.0 μB per cell; E_form (uncorrected) = -1.563 eV per atom
1.0
5.9972 0.0000 0.0000
-2.9986 5.1937 0.0000
0.0000 0.0000 6.8590
Mg O Ba Pd
1 6 3 2
Cartesian
0.0000 0.0000 3.4295
1.5574 4.3617 2.1358
2.9986 3.5296 4.7232
0.0000 1.6641 2.1358
-1.5574 4.3617 2.1358
4.5560 0.8321 4.7232
1.4412 0.8321 4.7232
0.0000 3.4625 4.4061
0.0000 0.0000 0.0000
2.9986 1.7312 2.4529
2.9986 1.7312 5.6701
0.0000 3.4625 1.1888



[20]
Sc6Co5Pd (GGA-PBE, optimized geometry); uncorrected energy = -7.00 eV per atom; Fermi-level density of states = 0.44 states/eV/atom; magnetic moment = 1.3 μB per cell; formation energy = -0.442 eV per atom
1.0
4.2164 -0.0251 1.4106
0.0341 6.3666 0.0114
0.0079 -0.0126 7.0322
Co Sc Pd
5 6 1
Cartesian
1.4291 3.1707 2.8095
2.8173 -0.0252 5.6250
2.8293 3.1581 5.6447
1.4070 -0.0126 2.8179
0.0170 3.1833 0.0057
3.5106 1.5912 3.5664
2.1334 4.7011 0.7137
0.7309 1.6038 4.8822
3.5275 4.7251 3.5720
0.7478 4.7377 4.8878
2.1170 1.6404 0.7083
0.0000 0.0000 0.0000